(w)
Crystalline Ta2CuMo at its relaxed geometry. Source: Alexandria, functional PBE-GGA.

Structure (CIF):
```
data_Ta2CuMo
_cell_length_a 3.298
_cell_length_b 3.298
_cell_length_c 5.931
_cell_angle_alpha 90.00
_cell_angle_beta 90.00
_cell_angle_gamma 90.00
_symmetry_space_group_name_H-M 'P 4 m m'
_symmetry_Int_Tables_number 99
_symmetry_space_group_name_Hall 'P 4 -2'
loop_
_atom_site_label
_atom_site_type_symbol
_atom_site_fract_x
_atom_site_fract_y
_atom_site_fract_z
Ta1 Ta 0.000 0.000 0.000
Ta2 Ta 0.500 0.500 0.280
Cu1 Cu 0.000 0.000 0.514
Mo1 Mo 0.500 0.500 0.753
```

Calculated values
Its total moment is 0.000 μB/cell. For the density, the calculation gives 13.42 g/cm3. The density of states at the Fermi level is 3.39 states/eV/cell. The calculated volume comes out at 64.51 Å³ per cell.

(x)
Crystalline Ta2CuMo at its relaxed geometry. Source: Alexandria, functional PBE-GGA.

Structure (CIF):
```
data_Ta2CuMo
_cell_length_a 7.140
_cell_length_b 7.140
_cell_length_c 5.423
_cell_angle_alpha 90.00
_cell_angle_beta 90.00
_cell_angle_gamma 90.00
_symmetry_space_group_name_H-M 'I -4 2 d'
_symmetry_Int_Tables_number 122
_symmetry_space_group_name_Hall 'I -4 2bw'
loop_
_atom_site_label
_atom_site_type_symbol
_atom_site_fract_x
_atom_site_fract_y
_atom_site_fract_z
Ta1 Ta 0.241 0.250 0.125
Cu1 Cu 0.000 0.000 0.000
Mo1 Mo 0.000 0.000 0.500
```

Calculated values
Its total moment is 0.000 μB/cell. For the density, the calculation gives 12.53 g/cm3. The density of states at the Fermi level is 5.86 states/eV/cell. The calculated volume comes out at 276.48 Å³ per cell.

(y)
Crystalline Ta2CuMo at its relaxed geometry. Source: Alexandria, functional PBE-GGA.

Structure (CIF):
```
data_Ta2CuMo
_cell_length_a 6.387
_cell_length_b 6.387
_cell_length_c 6.387
_cell_angle_alpha 90.00
_cell_angle_beta 90.00
_cell_angle_gamma 90.00
_symmetry_space_group_name_H-M 'F m -3 m'
_symmetry_Int_Tables_number 225
_symmetry_space_group_name_Hall '-F 4 2 3'
loop_
_atom_site_label
_atom_site_type_symbol
_atom_site_fract_x
_atom_site_fract_y
_atom_site_fract_z
Ta1 Ta 0.250 0.250 0.250
Cu1 Cu 0.000 0.000 0.000
Mo1 Mo 0.000 0.000 0.500
```

Calculated values
Its total moment is 0.000 μB/cell. For the density, the calculation gives 13.29 g/cm3. The density of states at the Fermi level is 17.15 states/eV/cell. The calculated volume comes out at 260.55 Å³ per cell.

Most stable: (y) (next structure +26 meV/atom)

(w)
Crystalline Ta2CuMo at its relaxed geometry. Source: Alexandria, functional PBE-GGA.

Structure (CIF):
```
data_Ta2CuMo
_cell_length_a 3.298
_cell_length_b 4.434
_cell_length_c 8.880
_cell_angle_alpha 90.00
_cell_angle_beta 90.00
_cell_angle_gamma 90.00
_symmetry_space_group_name_H-M 'C m m m'
_symmetry_Int_Tables_number 65
_symmetry_space_group_name_Hall '-C 2 2'
loop_
_atom_site_label
_atom_site_type_symbol
_atom_site_fract_x
_atom_site_fract_y
_atom_site_fract_z
Ta1 Ta 0.000 0.000 0.242
Cu1 Cu 0.000 0.500 0.000
Mo1 Mo 0.000 0.500 0.500
```

Calculated values
Its total moment is 0.000 μB/cell. For the density, the calculation gives 13.34 g/cm3. The density of states at the Fermi level is 4.76 states/eV/cell. The calculated volume comes out at 129.84 Å³ per cell.

(x)
Crystalline Ta2CuMo at its relaxed geometry. Source: Alexandria, functional PBE-GGA.

Structure (CIF):
```
data_Ta2CuMo
_cell_length_a 2.734
_cell_length_b 4.632
_cell_length_c 5.223
_cell_angle_alpha 90.00
_cell_angle_beta 98.60
_cell_angle_gamma 90.00
_symmetry_space_group_name_H-M 'P 1 m 1'
_symmetry_Int_Tables_number 6
_symmetry_space_group_name_Hall 'P -2y'
loop_
_atom_site_label
_atom_site_type_symbol
_atom_site_fract_x
_atom_site_fract_y
_atom_site_fract_z
Ta1 Ta 0.000 0.000 0.000
Ta2 Ta 0.267 0.500 0.726
Cu1 Cu 0.712 0.500 0.229
Mo1 Mo 0.530 0.000 0.504
```

Calculated values
Its total moment is 0.000 μB/cell. For the density, the calculation gives 13.24 g/cm3. The density of states at the Fermi level is 3.12 states/eV/cell. The calculated volume comes out at 65.39 Å³ per cell.

(y)
Crystalline Ta2CuMo at its relaxed geometry. Source: Alexandria, functional PBE-GGA.

Structure (CIF):
```
data_Ta2CuMo
_cell_length_a 3.557
_cell_length_b 4.133
_cell_length_c 4.398
_cell_angle_alpha 90.00
_cell_angle_beta 90.00
_cell_angle_gamma 90.00
_symmetry_space_group_name_H-M 'P m m m'
_symmetry_Int_Tables_number 47
_symmetry_space_group_name_Hall '-P 2 2'
loop_
_atom_site_label
_atom_site_type_symbol
_atom_site_fract_x
_atom_site_fract_y
_atom_site_fract_z
Ta1 Ta 0.000 0.000 0.000
Ta2 Ta 0.500 0.000 0.500
Cu1 Cu 0.000 0.500 0.500
Mo1 Mo 0.500 0.500 0.000
```

Calculated values
Its total moment is 0.000 μB/cell. For the density, the calculation gives 13.39 g/cm3. The density of states at the Fermi level is 3.04 states/eV/cell. The calculated volume comes out at 64.64 Å³ per cell.

(z)
Crystalline Ta2CuMo at its relaxed geometry. Source: Alexandria, functional PBE-GGA.

Structure (CIF):
```
data_Ta2CuMo
_cell_length_a 2.734
_cell_length_b 2.734
_cell_length_c 8.706
_cell_angle_alpha 90.00
_cell_angle_beta 90.00
_cell_angle_gamma 90.00
_symmetry_space_group_name_H-M 'P 4 m m'
_symmetry_Int_Tables_number 99
_symmetry_space_group_name_Hall 'P 4 -2'
loop_
_atom_site_label
_atom_site_type_symbol
_atom_site_fract_x
_atom_site_fract_y
_atom_site_fract_z
Ta1 Ta 0.000 0.000 0.000
Ta2 Ta 0.500 0.500 0.273
Cu1 Cu 0.000 0.000 0.508
Mo1 Mo 0.500 0.500 0.730
```

Calculated values
Its total moment is 0.000 μB/cell. For the density, the calculation gives 13.30 g/cm3. The density of states at the Fermi level is 1.94 states/eV/cell. The calculated volume comes out at 65.08 Å³ per cell.

Most stable: (w) (next structure +91 meV/atom)

(w)
Crystalline Ta2CuMo at its relaxed geometry. Source: Alexandria, functional PBE-GGA.

Structure (CIF):
```
data_Ta2CuMo
_cell_length_a 5.650
_cell_length_b 8.879
_cell_length_c 2.740
_cell_angle_alpha 90.00
_cell_angle_beta 108.44
_cell_angle_gamma 90.00
_symmetry_space_group_name_H-M 'C 1 2/m 1'
_symmetry_Int_Tables_number 12
_symmetry_space_group_name_Hall '-C 2y'
loop_
_atom_site_label
_atom_site_type_symbol
_atom_site_fract_x
_atom_site_fract_y
_atom_site_fract_z
Ta1 Ta 0.250 0.250 0.000
Cu1 Cu 0.000 0.000 0.500
Mo1 Mo 0.000 0.500 0.500
```

Calculated values
Its total moment is 0.000 μB/cell. For the density, the calculation gives 13.28 g/cm3. The density of states at the Fermi level is 6.74 states/eV/cell. The calculated volume comes out at 130.39 Å³ per cell.

(x)
Crystalline Ta2CuMo at its relaxed geometry. Source: Alexandria, functional PBE-GGA.

Structure (CIF):
```
data_Ta2CuMo
_cell_length_a 3.362
_cell_length_b 4.382
_cell_length_c 8.818
_cell_angle_alpha 90.00
_cell_angle_beta 90.00
_cell_angle_gamma 90.00
_symmetry_space_group_name_H-M 'C m m 2'
_symmetry_Int_Tables_number 35
_symmetry_space_group_name_Hall 'C 2 -2'
loop_
_atom_site_label
_atom_site_type_symbol
_atom_site_fract_x
_atom_site_fract_y
_atom_site_fract_z
Ta1 Ta 0.000 0.000 0.000
Ta2 Ta 0.000 0.500 0.270
Cu1 Cu 0.000 0.000 0.510
Mo1 Mo 0.000 0.500 0.742
```

Calculated values
Its total moment is 0.000 μB/cell. For the density, the calculation gives 13.33 g/cm3. The density of states at the Fermi level is 6.60 states/eV/cell. The calculated volume comes out at 129.91 Å³ per cell.

(y)
Crystalline Ta2CuMo at its relaxed geometry. Source: Alexandria, functional PBE-GGA.

Structure (CIF):
```
data_Ta2CuMo
_cell_length_a 2.724
_cell_length_b 4.463
_cell_length_c 5.465
_cell_angle_alpha 90.00
_cell_angle_beta 99.98
_cell_angle_gamma 90.00
_symmetry_space_group_name_H-M 'P 1 2/m 1'
_symmetry_Int_Tables_number 10
_symmetry_space_group_name_Hall '-P 2y'
loop_
_atom_site_label
_atom_site_type_symbol
_atom_site_fract_x
_atom_site_fract_y
_atom_site_fract_z
Ta1 Ta 0.238 0.000 0.255
Cu1 Cu 0.500 0.500 0.000
Mo1 Mo 0.000 0.500 0.500
```

Calculated values
Its total moment is 0.000 μB/cell. For the density, the calculation gives 13.23 g/cm3. The density of states at the Fermi level is 3.39 states/eV/cell. The calculated volume comes out at 65.42 Å³ per cell.

(z)
Crystalline Ta2CuMo at its relaxed geometry. Source: Alexandria, functional PBE-GGA.

Structure (CIF):
```
data_Ta2CuMo
_cell_length_a 6.383
_cell_length_b 6.383
_cell_length_c 6.383
_cell_angle_alpha 90.00
_cell_angle_beta 90.00
_cell_angle_gamma 90.00
_symmetry_space_group_name_H-M 'F -4 3 m'
_symmetry_Int_Tables_number 216
_symmetry_space_group_name_Hall 'F -4 2 3'
loop_
_atom_site_label
_atom_site_type_symbol
_atom_site_fract_x
_atom_site_fract_y
_atom_site_fract_z
Ta1 Ta 0.000 0.000 0.000
Ta2 Ta 0.250 0.250 0.250
Cu1 Cu 0.000 0.000 0.500
Mo1 Mo 0.250 0.250 0.750
```

Calculated values
Its total moment is 0.001 μB/cell. For the density, the calculation gives 13.32 g/cm3. The density of states at the Fermi level is 17.96 states/eV/cell. The calculated volume comes out at 260.01 Å³ per cell.

Most stable: (x) (next structure +37 meV/atom)